First-principles (PBE) data for a relaxed Mn2CdAu9 crystal, as listed in Alexandria.

a = 4.154 Å, b = 4.154 Å, c = 12.409 Å
α = 90.00°, β = 90.00°, γ = 90.00°
Site moments in Bohr magnetons follow the coordinates.
Element x y z (fractional)
Mn: 0.000 0.000 0.336  4.12
Mn: 0.000 0.000 0.664  4.12
Cd: 0.000 0.000 0.000  0.00
Au: 0.500 0.500 0.000  -0.01
Au: 0.500 0.500 0.338  0.04
Au: 0.500 0.500 0.662  0.04
Au: 0.500 0.000 0.175  0.02
Au: 0.500 0.000 0.500  0.05
Au: 0.500 0.000 0.825  0.02
Au: 0.000 0.500 0.175  0.02
Au: 0.000 0.500 0.500  0.05
Au: 0.000 0.500 0.825  0.02

## Properties
Electronic total energy (eV per atom): -4.1179
Energy of formation from the pure elements (eV per formula unit): -0.7
ρ (g/cm³): 15.47
Space group: P4/mmm, No. 123
Magnetic moment (μB per formula unit): 8.9
Crystal system: tetragonal